TcNi2W: optimized geometry, GGA-PBEsol.

Unit cell a=3.6366 b=3.6366 c=3.7848 alpha=90.00 beta=90.00 gamma=90.00
Closest atoms and distances in Å follow each position.
Element x y z (fractional)
Ni: 0.5000 0.0000 0.0000  4 Ni 2.57, 4 W 2.62, 4 Tc 2.62
Ni: 0.0000 0.5000 0.0000  4 Ni 2.57, 4 W 2.62, 4 Tc 2.62
Tc: 0.5000 0.5000 0.5000  4 W 2.57, 8 Ni 2.62
W: 0.0000 0.0000 0.5000  4 Tc 2.57, 8 Ni 2.62

Computed properties:
volume = 50.05 Å³/cell
total energy = -9.375 eV per atom
magnetization = 0.00 μB/cell
ΔH_f (0 K) = -2.7 kJ per mole of atoms